Record 1
PrThSbAu: optimized geometry, PBE.

Cell: 5.3845 5.3845 5.3845 Å, 60.00 60.00 60.00°
With the nearest neighbours (Å) after each atom.
Fractional coordinates of all 4 atoms:
Pr: 0.0000 0.0000 0.0000  4 Au 3.30, 4 Sb 3.30
Sb: 0.2500 0.2500 0.2500  4 Th 3.30, 4 Pr 3.30
Au: 0.7500 0.7500 0.7500  4 Pr 3.30, 4 Th 3.30
Th: 0.5000 0.5000 0.5000  4 Sb 3.30, 4 Au 3.30

Values from the calculation:
total DFT energy (no corrections): -5.577 eV per atom
space-group type: No. 216
N(E_F): 4.26 states/eV per cell
total magnetic moment: 0.00 μB/f.u.
formation energy (no corrections): -677 meV/atom
crystal system: cubic

---

Record 2
La2PmDy3Er6: optimized geometry, PBE.

Cell: 6.1901 6.1901 11.7643 Å, 95.02 95.02 119.98°
With the nearest neighbours (Å) after each atom.
Fractional coordinates of all 12 atoms:
La: 0.3333 0.6667 0.0000  3 Pm 3.57, 3 La 3.57, 6 Er 3.60-3.61
La: 0.6667 0.3333 0.0000  3 Pm 3.57, 3 La 3.57, 6 Er 3.60-3.61
Pm: 0.0000 0.0000 0.0000  6 La 3.57, 6 Er 3.60
Dy: 0.1666 0.8334 0.5000  6 Er 3.51, 6 Dy 3.57-3.58
Dy: 0.8334 0.1666 0.5000  6 Er 3.51, 6 Dy 3.57-3.58
Dy: 0.5000 0.5000 0.5000  6 Er 3.51, 6 Dy 3.57
Er: 0.9146 0.5818 0.7451  3 Dy 3.51, 6 Er 3.57-3.58, 2 La 3.60, 1 Pm 3.60
Er: 0.7528 0.7528 0.2549  3 Dy 3.51, 6 Er 3.57-3.58, 1 Pm 3.60, 2 La 3.61
Er: 0.0854 0.4182 0.2549  3 Dy 3.51, 6 Er 3.57-3.58, 2 La 3.60, 1 Pm 3.60
Er: 0.5818 0.9146 0.7451  3 Dy 3.51, 6 Er 3.57-3.58, 2 La 3.60, 1 Pm 3.60
Er: 0.2472 0.2472 0.7451  3 Dy 3.51, 6 Er 3.57-3.58, 1 Pm 3.60, 2 La 3.61
Er: 0.4182 0.0854 0.2549  3 Dy 3.51, 6 Er 3.57-3.58, 2 La 3.60, 1 Pm 3.60

Values from the calculation:
total DFT energy (no corrections): -4.626 eV per atom
space-group type: No. 12
N(E_F): 15.58 states/eV per cell
total magnetic moment: 0.00 μB/f.u.
energy of formation from the pure elements: 0.023 eV/atom
crystal system: monoclinic

---

Record 3
SiRuPt: optimized geometry, PBE.

Cell: 2.8561 2.8561 6.0455 Å, 90.00 90.00 120.00°
With the nearest neighbours (Å) after each atom.
Fractional coordinates of all 3 atoms:
Pt: 0.0000 0.0000 0.9726  3 Si 2.51
Ru: 0.6667 0.3333 0.3684  3 Si 2.41
Si: 0.3333 0.6667 0.6589  3 Ru 2.41, 3 Pt 2.51

Values from the calculation:
E above lowest polymorph: 0.211 eV per atom
total DFT energy (no corrections): -7.235 eV per atom
space-group type: No. 156
N(E_F): 2.10 states/eV per cell
total magnetic moment: 0.00 μB/f.u.
formation energy (no corrections): -321 meV/atom
crystal system: trigonal

---

Record 4
Dy7In: optimized geometry, PBE.

Cell: 6.9979 6.9979 6.9979 Å, 60.00 60.00 60.00°
With the nearest neighbours (Å) after each atom.
Fractional coordinates of all 8 atoms:
Dy: 0.5000 0.5000 0.0000  10 Dy 3.50, 2 In 3.50
Dy: 0.5000 0.0000 0.5000  10 Dy 3.50, 2 In 3.50
Dy: 0.0000 0.5000 0.5000  2 In 3.50, 10 Dy 3.50
Dy: 0.5000 0.0000 0.0000  10 Dy 3.50, 2 In 3.50
Dy: 0.0000 0.5000 0.0000  10 Dy 3.50, 2 In 3.50
Dy: 0.0000 0.0000 0.5000  10 Dy 3.50, 2 In 3.50
Dy: 0.5000 0.5000 0.5000  12 Dy 3.50
In: 0.0000 0.0000 0.0000  12 Dy 3.50

Values from the calculation:
total DFT energy (no corrections): -4.444 eV per atom
space-group type: No. 225
N(E_F): 11.03 states/eV per cell
total magnetic moment: 0.00 μB/f.u.
energy of formation from the pure elements: -0.075 eV/atom
crystal system: cubic

---

Record 5
MgSc2HPb: optimized geometry, PBE.

Cell: 4.4537 4.4537 4.6059 Å, 90.00 90.00 90.00°
With the nearest neighbours (Å) after each atom.
Fractional coordinates of all 5 atoms:
Pb: 0.5000 0.5000 0.5000  4 Mg 3.15, 8 Sc 3.20
Sc: 0.0000 0.5000 0.0000  2 H 2.23
Sc: 0.5000 0.0000 0.0000  2 H 2.23
Mg: 0.0000 0.0000 0.5000  2 H 2.30
H: 0.0000 0.0000 0.0000  4 Sc 2.23, 2 Mg 2.30

Values from the calculation:
total DFT energy (no corrections): -4.570 eV per atom
space-group type: No. 123
N(E_F): 3.17 states/eV per cell
total magnetic moment: 1.27 μB/f.u.
crystal system: tetragonal

---

Record 6
HgPt4: optimized geometry, PBE.

Cell: 2.8875 2.8875 11.6434 Å, 82.88 90.00 120.00°
With the nearest neighbours (Å) after each atom.
Fractional coordinates of all 5 atoms:
Hg: 0.0000 0.0000 0.0000  6 Hg 2.89, 6 Pt 2.92
Pt: 0.5972 0.1943 0.2085  9 Pt 2.80-2.89, 3 Hg 2.92
Pt: 0.1988 0.3976 0.4036  12 Pt 2.78-2.89
Pt: 0.8012 0.6024 0.5964  12 Pt 2.78-2.89
Pt: 0.4028 0.8057 0.7915  9 Pt 2.80-2.89, 3 Hg 2.92

Values from the calculation:
E above lowest polymorph: 0.037 eV per atom
total DFT energy (no corrections): -4.811 eV per atom
space-group type: No. 166
N(E_F): 8.64 states/eV per cell
total magnetic moment: 0.00 μB/f.u.
energy of formation from the pure elements: 0.082 eV/atom
crystal system: trigonal

---

The highest total DFT energy (no corrections) belongs to which entry? Dy7In

---

Which formula does entry 6 have? HgPt4